HgTe2IrN (PBE, optimized geometry); ΔE_f (raw) = 1.82 eV/atom; relative energy among the computed polymorphs = 1.494 eV/atom; symmetry = P4/mmm, No. 123
1.0
5.6004 0.0000 0.0000
0.0000 5.6004 0.0000
0.0000 0.0000 3.8968
Hg Te Ir N
1 2 1 1
Cartesian
0.0000 0.0000 0.0000
0.0000 2.8002 0.0000
2.8002 0.0000 0.0000
2.8002 2.8002 1.9484
0.0000 0.0000 1.9484